one.
Compound: TmScSn2
Source: Alexandria
Functional: PBE-GGA
Structure: relaxed

Results
V ... 24.19 Å³ per atom
Size of the total moment ... 0.31 μB per formula unit

a b c (Å): 4.3324 4.7261 4.7261
angles (deg): 90.00 90.00 90.00
With the nearest neighbours (Å) after each atom.
Element x y z (fractional)
Sn 0.0000 0.0000 0.5000  4 Sc 3.21, 4 Tm 3.21, 4 Sn 3.34
Sn 0.0000 0.5000 0.0000  4 Tm 3.21, 4 Sc 3.21, 4 Sn 3.34
Tm 0.5000 0.5000 0.5000  8 Sn 3.21, 4 Sc 3.34
Sc 0.5000 0.0000 0.0000  8 Sn 3.21, 4 Tm 3.34


two.
Compound: TmScSn2
Source: Alexandria
Functional: PBE-GGA
Structure: relaxed

Results
V ... 24.68 Å³ per atom
Size of the total moment ... 0.00 μB per formula unit

a b c (Å): 3.8688 3.8688 6.5945
angles (deg): 90.00 90.00 90.00
With the nearest neighbours (Å) after each atom.
Element x y z (fractional)
Sc 0.5000 0.5000 0.0000  8 Sn 3.14, 2 Tm 3.30
Sn 0.0000 0.0000 0.2329  1 Sn 3.07, 4 Sc 3.14, 4 Tm 3.25
Sn 0.0000 0.0000 0.7671  1 Sn 3.07, 4 Sc 3.14, 4 Tm 3.25
Tm 0.5000 0.5000 0.5000  8 Sn 3.25, 2 Sc 3.30


three.
Compound: TmScSn2
Source: Alexandria
Functional: PBE-GGA
Structure: relaxed

Results
V ... 25.36 Å³ per atom
Size of the total moment ... 0.00 μB per formula unit

a b c (Å): 6.0537 6.0591 11.4876
angles (deg): 90.00 105.64 90.00
With the nearest neighbours (Å) after each atom.
Element x y z (fractional)
Sn 0.0697 0.6241 0.8984  3 Sc 2.98-3.04, 2 Sn 3.03-3.08, 2 Tm 3.04-3.06
Sn 0.4207 0.8701 0.0927  2 Sn 3.01-3.03, 4 Tm 3.03-3.30, 3 Sc 3.04-3.23
Sn 0.5697 0.3759 0.3984  3 Sc 2.98-3.04, 2 Sn 3.03-3.08, 2 Tm 3.04-3.06
Sn 0.9303 0.3759 0.1016  3 Sc 2.98-3.04, 2 Sn 3.03-3.08, 2 Tm 3.04-3.06
Sn 0.0793 0.8701 0.4073  2 Sn 3.01-3.03, 4 Tm 3.03-3.30, 3 Sc 3.04-3.23
Sn 0.4303 0.6241 0.6016  3 Sc 2.98-3.04, 2 Sn 3.03-3.08, 2 Tm 3.04-3.06
Sn 0.9207 0.1299 0.5927  2 Sn 3.01-3.03, 4 Tm 3.03-3.30, 3 Sc 3.04-3.23
Sn 0.5793 0.1299 0.9073  2 Sn 3.01-3.03, 4 Tm 3.03-3.30, 3 Sc 3.04-3.23
Sc 0.9440 0.6266 0.6287  6 Sn 2.98-3.23
Sc 0.4440 0.3734 0.1287  6 Sn 2.98-3.23
Sc 0.0560 0.3734 0.3713  6 Sn 2.98-3.23
Sc 0.5560 0.6266 0.8713  6 Sn 2.98-3.23
Tm 0.4415 0.1257 0.6337  7 Sn 3.03-3.37
Tm 0.0585 0.1257 0.8663  7 Sn 3.03-3.37
Tm 0.9415 0.8743 0.1337  7 Sn 3.03-3.37
Tm 0.5585 0.8743 0.3663  7 Sn 3.03-3.37


four.
Compound: TmScSn2
Source: Alexandria
Functional: PBE-GGA
Structure: relaxed

Results
V ... 25.34 Å³ per atom
Size of the total moment ... 0.00 μB per formula unit

a b c (Å): 4.2058 5.9474 8.1055
angles (deg): 90.00 90.00 90.00
With the nearest neighbours (Å) after each atom.
Element x y z (fractional)
Sc 0.5000 0.3792 0.3164  5 Sn 2.98-3.06
Sc 0.5000 0.6208 0.8164  5 Sn 2.98-3.06
Sn 0.5000 0.9152 0.4541  2 Sn 2.97, 1 Sc 2.98, 4 Tm 3.05-3.06
Sn 0.5000 0.0848 0.9541  2 Sn 2.97, 1 Sc 2.98, 4 Tm 3.05-3.06
Sn 0.0000 0.4141 0.0457  2 Sn 2.97, 1 Tm 2.98, 4 Sc 3.05-3.06
Sn 0.0000 0.5859 0.5457  2 Sn 2.97, 1 Tm 2.98, 4 Sc 3.05-3.06
Tm 0.0000 0.1214 0.6837  5 Sn 2.98-3.06
Tm 0.0000 0.8786 0.1837  5 Sn 2.98-3.06


Most stable pick: three. Distance to second place: 0.7 kJ/mol of atoms.


one.
Compound: Tm2ScSn
Source: Alexandria
Functional: PBE-GGA
Structure: relaxed

Results
V ... 26.27 Å³ per atom
Size of the total moment ... 0.00 μB per formula unit

a b c (Å): 4.0410 4.0410 6.4340
angles (deg): 90.00 90.00 90.00
With the nearest neighbours (Å) after each atom.
Element x y z (fractional)
Sc 0.5000 0.5000 0.0000  2 Sn 3.22, 8 Tm 3.30
Tm 0.0000 0.0000 0.7437  2 Tm 3.14-3.30, 4 Sn 3.26, 4 Sc 3.30
Tm 0.0000 0.0000 0.2563  2 Tm 3.14-3.30, 4 Sn 3.26, 4 Sc 3.30
Sn 0.5000 0.5000 0.5000  2 Sc 3.22, 8 Tm 3.26


two.
Compound: Tm2ScSn
Source: Alexandria
Functional: PBE-GGA
Structure: relaxed

Results
V ... 28.28 Å³ per atom
Size of the total moment ... 0.00 μB per formula unit

a b c (Å): 3.3319 5.4516 12.5666
angles (deg): 90.00 97.62 90.00
With the nearest neighbours (Å) after each atom.
Element x y z (fractional)
Sc 0.4021 0.7025 0.8042  2 Sn 3.11, 4 Tm 3.20-3.24, 2 Sc 3.33
Sc 0.5979 0.2025 0.1958  2 Sn 3.11, 4 Tm 3.20-3.24, 2 Sc 3.33
Tm 0.5308 0.7026 0.0616  4 Tm 3.13-3.33, 1 Sn 3.16, 3 Sc 3.20-3.21
Tm 0.4692 0.2026 0.9384  4 Tm 3.13-3.33, 1 Sn 3.16, 3 Sc 3.20-3.21
Tm 0.2719 0.7029 0.5438  4 Sn 3.24-3.30, 1 Sc 3.24, 6 Tm 3.33-3.38
Tm 0.7281 0.2029 0.4562  4 Sn 3.24-3.30, 1 Sc 3.24, 6 Tm 3.33-3.38
Sn 0.6577 0.7026 0.3155  2 Sc 3.11, 5 Tm 3.16-3.30, 2 Sn 3.33
Sn 0.3423 0.2026 0.6845  2 Sc 3.11, 5 Tm 3.16-3.30, 2 Sn 3.33


three.
Compound: Tm2ScSn
Source: Alexandria
Functional: PBE-GGA
Structure: relaxed

Results
V ... 28.04 Å³ per atom
Size of the total moment ... 0.76 μB per formula unit

a b c (Å): 3.3726 3.3726 11.5503
angles (deg): 81.61 81.61 60.00
With the nearest neighbours (Å) after each atom.
Element x y z (fractional)
Sn 0.5000 0.5000 0.5000  6 Tm 3.20, 6 Sn 3.37
Sc 0.0000 0.0000 0.0000  2 Tm 3.15, 6 Sc 3.37
Tm 0.0922 0.0922 0.7235  1 Sc 3.15, 3 Sn 3.20, 6 Tm 3.37
Tm 0.9078 0.9078 0.2765  1 Sc 3.15, 3 Sn 3.20, 6 Tm 3.37


Most stable pick: one. Distance to second place: 38.1 kJ/mol of atoms.


one.
Compound: TmSc2Sn
Source: Alexandria
Functional: PBE-GGA
Structure: relaxed

Results
V ... 24.12 Å³ per atom
Size of the total moment ... 1.32 μB per formula unit

a b c (Å): 5.1485 5.1485 5.1484
angles (deg): 60.00 60.00 60.00
With the nearest neighbours (Å) after each atom.
Element x y z (fractional)
Sn 0.7500 0.7500 0.7500  4 Sc 3.15, 4 Tm 3.15
Sc 0.0000 0.0000 0.0001  4 Sn 3.15, 4 Sc 3.15
Sc 0.2500 0.2500 0.2499  4 Sc 3.15, 4 Tm 3.15
Tm 0.5000 0.5000 0.4999  4 Sn 3.15, 4 Sc 3.15


two.
Compound: TmSc2Sn
Source: Alexandria
Functional: PBE-GGA
Structure: relaxed

Results
V ... 26.14 Å³ per atom
Size of the total moment ... 0.00 μB per formula unit

a b c (Å): 6.1943 4.0921 8.7397
angles (deg): 90.00 90.00 109.28
With the nearest neighbours (Å) after each atom.
Element x y z (fractional)
Sc 0.2325 0.3663 0.4471  3 Sn 2.96-3.02, 1 Sc 3.26
Sc 0.2325 0.3663 0.0529  3 Sn 2.96-3.02, 1 Sc 3.26
Sc 0.7675 0.6337 0.5529  3 Sn 2.96-3.02, 1 Sc 3.26
Sc 0.7675 0.6337 0.9471  3 Sn 2.96-3.02, 1 Sc 3.26
Sn 0.9830 0.2414 0.7500  6 Sc 2.96-3.02, 2 Tm 3.17
Sn 0.0170 0.7586 0.2500  6 Sc 2.96-3.02, 2 Tm 3.17
Tm 0.3962 0.9480 0.7500  3 Sn 3.17-3.43, 8 Sc 3.44-3.48
Tm 0.6038 0.0520 0.2500  3 Sn 3.17-3.43, 8 Sc 3.44-3.48


Most stable pick: two. Distance to second place: 12.8 kJ/mol of atoms.


one.
Compound: TmSc2Sn
Source: Alexandria
Functional: PBE-GGA
Structure: relaxed

Results
V ... 24.21 Å³ per atom
Size of the total moment ... 1.36 μB per formula unit

a b c (Å): 4.5815 4.5980 4.5980
angles (deg): 90.00 90.00 90.00
With the nearest neighbours (Å) after each atom.
Element x y z (fractional)
Tm 0.5000 0.5000 0.5000  8 Sc 3.25, 4 Sn 3.25
Sc 0.0000 0.5000 0.0000  4 Sn 3.25, 4 Tm 3.25, 4 Sc 3.25
Sc 0.0000 0.0000 0.5000  4 Tm 3.25, 4 Sn 3.25, 4 Sc 3.25
Sn 0.5000 0.0000 0.0000  8 Sc 3.25, 4 Tm 3.25


two.
Compound: TmSc2Sn
Source: Alexandria
Functional: PBE-GGA
Structure: relaxed

Results
V ... 25.69 Å³ per atom
Size of the total moment ... 0.00 μB per formula unit

a b c (Å): 4.4526 4.3733 10.7774
angles (deg): 101.69 90.00 90.00
With the nearest neighbours (Å) after each atom.
Element x y z (fractional)
Sn 0.7500 0.8384 0.6763  4 Sc 3.08-3.13, 5 Tm 3.13-3.18
Sn 0.2500 0.1616 0.3237  4 Sc 3.08-3.13, 5 Tm 3.13-3.18
Tm 0.7500 0.6893 0.3792  5 Sn 3.13-3.18, 2 Sc 3.49
Tm 0.2500 0.3107 0.6208  5 Sn 3.13-3.18, 2 Sc 3.49
Sc 0.2500 0.9392 0.8781  2 Sn 3.08, 8 Sc 3.12-3.40
Sc 0.7500 0.0608 0.1219  2 Sn 3.08, 8 Sc 3.12-3.40
Sc 0.2500 0.5560 0.1121  8 Sc 3.12-3.30, 2 Sn 3.13
Sc 0.7500 0.4440 0.8879  8 Sc 3.12-3.30, 2 Sn 3.13


three.
Compound: TmSc2Sn
Source: Alexandria
Functional: PBE-GGA
Structure: relaxed

Results
V ... 25.05 Å³ per atom
Size of the total moment ... 0.00 μB per formula unit

a b c (Å): 3.6086 3.6086 7.6955
angles (deg): 90.00 90.00 90.00
With the nearest neighbours (Å) after each atom.
Element x y z (fractional)
Sn 0.5000 0.5000 0.0000  8 Sc 3.08
Tm 0.5000 0.5000 0.5000  8 Sc 3.32, 4 Tm 3.61
Sc 0.0000 0.0000 0.2249  4 Sn 3.08, 4 Tm 3.32
Sc 0.0000 0.0000 0.7751  4 Sn 3.08, 4 Tm 3.32


Most stable pick: two. Distance to second place: 4.2 kJ/mol of atoms.